Record 1
Below is a relaxed structure of AsIBr2, with properties calculated at the PBE level.

Cell lengths 5.3267, 5.3267, 5.3267 Å; angles 60.00, 60.00, 60.00 degrees
Sites, in units of the cell vectors:
I: 0.5000 0.5000 0.5000
As: 0.0000 0.0000 0.0000
Br: 0.2500 0.2500 0.2500
Br: 0.7500 0.7500 0.7500

Formation energy (no corrections)   621 meV/atom
E_tot   -7.06 eV/cell
Space-group type   Fm-3m, No. 225

=====

Record 2
Below is a relaxed structure of AsIBr3, with properties calculated at the PBE level.

Cell lengths 5.3747, 5.3747, 5.3747 Å; angles 90.00, 90.00, 90.00 degrees
Sites, in units of the cell vectors:
As: 0.0000 0.0000 0.0000
I: 0.5000 0.5000 0.5000
Br: 0.0000 0.5000 0.0000
Br: 0.0000 0.0000 0.5000
Br: 0.5000 0.0000 0.0000

Formation energy (no corrections)   56 meV/atom
E_tot   -10.94 eV/cell
Space-group type   Pm-3m, No. 221

=====

Question: Look up the formation energy (no corrections) of the first one.
Answer: 621 meV/atom